(a)
Computed, not measured: an optimized crystal structure of SmHo4Al at the PBE level of DFT.

Values from the calculation:
total magnetic moment	0.000	μB/f.u.
symmetry	No. 15

Structure (POSCAR):
```
SmHo4Al
1.0
-4.6926 3.3386 -2.2890
-2.3113 -8.5016 1.4619
1.5386 4.2178 6.8249
Sm Ho Al
2 8 2
Cartesian
-2.7021 -3.1050 1.3778
-2.7631 2.1598 4.6200
0.6298 1.9823 5.4118
-4.2587 -0.8733 3.6238
-1.3090 -1.1301 5.6125
-2.8853 -3.8867 4.8134
-2.5800 2.9415 1.1844
-4.1563 0.1849 0.3854
-1.2065 -0.0719 2.3741
-6.0951 -2.9275 0.5860
-1.9432 -3.4513 7.7061
-3.5221 2.5061 -1.7082
```


(b)
Computed, not measured: an optimized crystal structure of SmHo4Al at the PBE level of DFT.

Values from the calculation:
total magnetic moment	0.000	μB/f.u.
symmetry	No. 123

Structure (POSCAR):
```
SmHo4Al
1.0
-0.1092 3.5354 0.0482
-3.5271 -0.1055 -0.2479
-0.9706 -0.2197 13.9059
Sm Ho Al
1 4 1
Cartesian
0.0000 0.0000 0.0000
-1.9951 1.6749 2.4355
-0.6161 -0.1394 8.8260
-0.3546 -0.0803 5.0799
-2.6118 1.5353 11.2708
-2.3035 1.6051 6.8531
```


Most stable = (b)